This record from the Open Quantum Materials Database describes a relaxed Tl3Mo2W4C3 crystal. The functional is PBE.

The structure in CIF format:
```
data_Tl3Mo2W4C3
_space_group_name_H-M_alt 'C 1 2/c 1'
_space_group_IT_number 15
_space_group_name_Hall '-C 2yc'
_cell_length_a 9.558
_cell_length_b 5.511
_cell_length_c 14.381
_cell_angle_alpha 90.00
_cell_angle_beta 102.84
_cell_angle_gamma 90.00
loop_
_atom_site_label
_atom_site_type_symbol
_atom_site_fract_x
_atom_site_fract_y
_atom_site_fract_z
_atom_site_occupancy
Tl1 Tl 0.000 0.081 0.250 1
Tl2 Tl 0.168 0.416 0.751 1
Mo1 Mo 0.052 0.422 0.420 1
W1 W 0.109 0.091 0.577 1
W2 W 0.229 0.079 0.923 1
C1 C 0.085 0.244 0.000 1
C2 C 0.250 0.250 0.500 1
```

Summary:
- calculated density (g/cm³) = 14.176
- raw total energy (eV/cell) = -416.948


This record from the Open Quantum Materials Database describes a relaxed AlRe5 crystal. The functional is PBE.

The structure in CIF format:
```
data_AlRe5
_space_group_name_H-M_alt 'P 63/m m c'
_space_group_IT_number 194
_space_group_name_Hall '-P 6c 2c'
_cell_length_a 5.1454
_cell_length_b 5.1454
_cell_length_c 16.7683
_cell_angle_alpha 90.00
_cell_angle_beta 90.00
_cell_angle_gamma 120.00
loop_
_atom_site_label
_atom_site_type_symbol
_atom_site_fract_x
_atom_site_fract_y
_atom_site_fract_z
_atom_site_occupancy
Al1 Al 0.3333 0.6667 0.1518 1
Re1 Re 0.0000 0.0000 0.0770 1
Re2 Re 0.0000 0.5000 0.0000 1
Re3 Re 0.1583 0.3166 0.7500 1
Re4 Re 0.3333 0.6667 0.6304 1
```

Summary:
- calculated density (g/cm³) = 16.551
- raw total energy (eV/cell) = -254.593
- polymorph energy (0 for the lowest one) (meV/atom) = 109


This record from the Open Quantum Materials Database describes a relaxed MgPdO3 crystal. The functional is PBE.

The structure in CIF format:
```
data_MgPdO3
_space_group_name_H-M_alt 'R 3 c'
_space_group_IT_number 161
_space_group_name_Hall 'R 3 -2"c'
_cell_length_a 5.1414
_cell_length_b 5.1414
_cell_length_c 13.7181
_cell_angle_alpha 90.00
_cell_angle_beta 90.00
_cell_angle_gamma 120.00
loop_
_atom_site_label
_atom_site_type_symbol
_atom_site_fract_x
_atom_site_fract_y
_atom_site_fract_z
_atom_site_occupancy
Mg1 Mg 0.0000 0.0000 0.0000 1
Pd1 Pd 0.0000 0.0000 0.2030 1
O1 O 0.0344 0.3646 0.2713 1
```

Summary:
- calculated density (g/cm³) = 5.670
- raw total energy (eV/cell) = -168.618


This record from the Open Quantum Materials Database describes a relaxed RbNaAsPd crystal. The functional is PBE.

The structure in CIF format:
```
data_RbNaAsPd
_space_group_name_H-M_alt 'A m m 2'
_space_group_IT_number 38
_space_group_name_Hall 'A 2 -2'
_cell_length_a 5.869
_cell_length_b 9.805
_cell_length_c 7.466
_cell_angle_alpha 90.00
_cell_angle_beta 90.00
_cell_angle_gamma 90.00
loop_
_atom_site_label
_atom_site_type_symbol
_atom_site_fract_x
_atom_site_fract_y
_atom_site_fract_z
_atom_site_occupancy
Rb1 Rb 0.000 0.176 0.000 1
Na1 Na 0.500 0.169 0.310 1
As1 As 0.000 0.000 0.387 1
As2 As 0.500 0.000 0.909 1
Pd1 Pd 0.266 0.000 0.636 1
```

Summary:
- calculated density (g/cm³) = 4.480
- raw total energy (eV/cell) = -53.642
- polymorph energy (0 for the lowest one) (meV/atom) = 34


This record from the Open Quantum Materials Database describes a relaxed Hf2ZrGe crystal. The functional is PBE.

The structure in CIF format:
```
data_Hf2ZrGe
_space_group_name_H-M_alt 'F -4 3 m'
_space_group_IT_number 216
_space_group_name_Hall 'F -4 2 3'
_cell_length_a 6.859
_cell_length_b 6.859
_cell_length_c 6.859
_cell_angle_alpha 90.00
_cell_angle_beta 90.00
_cell_angle_gamma 90.00
loop_
_atom_site_label
_atom_site_type_symbol
_atom_site_fract_x
_atom_site_fract_y
_atom_site_fract_z
_atom_site_occupancy
Hf1 Hf 0.000 0.000 0.000 1
Hf2 Hf 0.250 0.250 0.250 1
Zr1 Zr 0.250 0.250 0.750 1
Ge1 Ge 0.000 0.000 0.500 1
```

Summary:
- calculated density (g/cm³) = 10.720
- raw total energy (eV/cell) = -133.164


This record from the Open Quantum Materials Database describes a relaxed Cu2Ag crystal. The functional is PBE.

The structure in CIF format:
```
data_Cu2Ag
_space_group_name_H-M_alt 'C 1 m 1'
_space_group_IT_number 8
_space_group_name_Hall 'C -2y'
_cell_length_a 14.019
_cell_length_b 2.742
_cell_length_c 6.548
_cell_angle_alpha 90.00
_cell_angle_beta 90.57
_cell_angle_gamma 90.00
loop_
_atom_site_label
_atom_site_type_symbol
_atom_site_fract_x
_atom_site_fract_y
_atom_site_fract_z
_atom_site_occupancy
Cu1 Cu 0.000 0.000 0.000 1
Cu2 Cu 0.048 0.500 0.331 1
Cu3 Cu 0.101 0.000 0.666 1
Cu4 Cu 0.152 0.500 0.980 1
Cu5 Cu 0.264 0.500 0.665 1
Cu6 Cu 0.448 0.000 0.681 1
Ag1 Ag 0.208 0.000 0.327 1
Ag2 Ag 0.327 0.000 0.984 1
Ag3 Ag 0.388 0.500 0.350 1
```

Summary:
- calculated density (g/cm³) = 9.301
- energy relative to the elements (eV per formula unit) = 0.3
- raw total energy (eV/cell) = -59.908
- polymorph energy (0 for the lowest one) (meV/atom) = 45


- Look up the calculated density of the second one.
  16.551 g/cm³


- Look up the calculated density of the first one.
  14.176 g/cm³


- Number 4 is which compound?
  RbNaAsPd